Entry from Alexandria: a relaxed Ba2TlZn4Cd3 crystal (GGA-PBE).

abc: 4.8088 4.8088 11.4271
angles: 90.00 90.00 90.00
Fractional positions:
1 Ba 0.0000 0.5000 0.2419
2 Ba 0.5000 0.0000 0.7581
3 Tl 0.0000 0.0000 0.5000
4 Zn 0.0000 0.0000 0.0000
5 Zn 0.0000 0.5000 0.6395
6 Zn 0.5000 0.0000 0.3605
7 Zn 0.5000 0.5000 0.0000
8 Cd 0.0000 0.5000 0.8800
9 Cd 0.5000 0.0000 0.1200
10 Cd 0.5000 0.5000 0.5000

## Properties
density of states at the Fermi level: 7.03 states/eV/cell
symmetry: P-4m2, No. 115
raw total energy: -1.605 eV/atom